First-principles (GGA-PBE) data for crystalline Zr8Pa at its relaxed geometry, as listed in Alexandria.

Lattice parameters (Å, degrees): 4.499 7.213 7.213 84.42 71.83 71.83
Positions (direct):
1 Zr 0.333 0.000 0.333
2 Zr 0.667 0.000 0.667
3 Zr 0.666 0.334 0.334
4 Zr 0.333 0.333 0.000
5 Zr 0.000 0.334 0.666
6 Zr 0.667 0.667 0.000
7 Zr 0.334 0.666 0.666
8 Zr 0.000 0.666 0.334
9 Pa 0.000 0.000 0.000

DFT formation energy in eV per atom: 0.0593
Crystal system: tetragonal
Total moment in μB/f.u.: 0.0